No. 1
Compound: CrTePtC2
Source: Alexandria
Functional: GGA-PBE
Structure: optimized geometry

Structure (POSCAR):
```
CrTePtC2
1.0
3.788 0.000 0.000
0.000 3.788 0.000
0.000 0.000 5.467
Cr Te Pt C
1 1 1 2
Direct
0.000 0.000 0.000
0.500 0.500 0.500
0.000 0.000 0.500
0.000 0.500 0.000
0.500 0.000 0.000
```

Summary:
energy above the most stable polymorph in this dataset: 0 meV/atom
energy relative to the elements, uncorrected: 6.5 eV/f.u.

No. 2
Compound: Ti2CrPtC
Source: Alexandria
Functional: GGA-PBE
Structure: optimized geometry

Structure (POSCAR):
```
Ti2CrPtC
1.0
4.175 0.000 0.000
0.000 4.175 0.000
0.000 0.000 3.825
Ti Cr Pt C
2 1 1 1
Direct
0.000 0.500 0.000
0.500 0.000 0.000
0.000 0.000 0.500
0.500 0.500 0.500
0.000 0.000 0.000
```

Summary:
energy of formation: -598 meV per atom